No. 1
YWAu3: relaxed, PBE.

a b c (Å): 5.115 5.115 5.115
angles (deg): 90.00 90.00 90.00
Fractional positions:
1 Au 0.000 0.000 0.500
2 Au 0.500 0.000 0.000
3 Au 0.000 0.500 0.000
4 W 0.500 0.500 0.500
5 Y 0.000 0.000 0.000

Summary:
The formation energy comes out at 1.7519 eV per atom. As for the crystal system: cubic. As for the total energy: -20.5 eV per cell. For the density, the calculation gives 10.72 g/cm3.

=====

No. 2
YWAu: relaxed, PBE.

a b c (Å): 4.750 4.750 4.750
angles (deg): 60.00 60.00 60.00
Last column: magnetic moment on the atom in μB.
Fractional positions:
1 W 0.500 0.500 0.500  2.28
2 Y 0.750 0.750 0.750  0.28
3 Au 0.000 0.000 0.000  0.06

Summary:
The formation energy comes out at 1.2277 eV per atom. As for the crystal system: cubic. As for the total energy: -19.0 eV per cell. For the density, the calculation gives 10.29 g/cm3.

=====

no.,calculated volume (A^3/atom)
1,26.8
2,25.3